A plane-wave DFT calculation with PBE was carried out for K6Fe3Br14 after structural relaxation.

Calculated values
- Fermi-level density of states: 0.492 states/eV/atom
- SG: P3, No. 143
- Total moment: 14.0 μB/f.u.
- Energy: -3.564 eV/atom

Lattice parameters (Å, degrees): 11.869 11.869 6.676 90.00 90.00 120.00
Element x y z (fractional)
K: 0.023 0.461 0.000
K: 0.305 0.206 0.495
K: 0.438 0.977 0.000
K: 0.539 0.562 0.000
K: 0.794 0.099 0.495
K: 0.901 0.695 0.495
Fe: 0.000 0.000 0.073
Fe: 0.333 0.667 0.581
Fe: 0.667 0.333 0.715
Br: 0.000 0.000 0.716
Br: 0.076 0.215 0.200
Br: 0.140 0.924 0.200
Br: 0.198 0.747 0.706
Br: 0.253 0.451 0.706
Br: 0.333 0.667 0.224
Br: 0.459 0.259 0.937
Br: 0.531 0.124 0.498
Br: 0.549 0.802 0.706
Br: 0.594 0.469 0.498
Br: 0.741 0.199 0.937
Br: 0.785 0.860 0.200
Br: 0.801 0.541 0.937
Br: 0.876 0.406 0.498